# 1
CaZrTl2: single point on PBEsol structure, meta-GGA SCAN.

Geometry as extended XYZ:
```
4
Lattice="3.3046 0.0000 0.0000 0.0000 3.3046 0.0000 0.0000 0.0000 8.7481" Properties=species:S:1:pos:R:3 pbc="T T T"
Ca 0.0000 0.0000 0.0000
Zr 0.0000 0.0000 4.3741
Tl 1.6523 1.6523 2.2923
Tl 1.6523 1.6523 6.4559
```

crystal system: tetragonal
energy of formation: -375.9 meV/atom
D(E_F): 2.140 states/eV/cell

---

# 2
CaZrTl2: single point on PBEsol structure, meta-GGA SCAN.

Geometry as extended XYZ:
```
4
Lattice="5.8088 -1.6552 0.0000 5.8088 1.6552 0.0000 -1.7740 0.0000 5.1255" Properties=species:S:1:pos:R:3 pbc="T T T"
Ca 0.0000 0.0000 0.0000
Zr 8.1980 0.0000 2.1011
Tl 1.3055 0.0000 4.6086
Tl 5.1157 0.0000 2.5272
```

crystal system: monoclinic
energy of formation: -216.5 meV/atom
D(E_F): 2.332 states/eV/cell

---

# 3
CaW2: single point on PBEsol structure, meta-GGA SCAN.

Geometry as extended XYZ:
```
3
Lattice="-1.6431 1.6431 5.6077 1.6431 -1.6431 5.6077 1.6431 1.6431 -5.6077" Properties=species:S:1:pos:R:3 pbc="T T T"
Ca 0.0000 0.0000 0.0000
W 0.0000 0.0000 3.3766
W 0.0000 0.0000 7.8389
```

crystal system: tetragonal
energy of formation: 695.0 meV/atom
D(E_F): 2.588 states/eV/cell